No. 1
Cr2CdIrF, optimized geometry, DFT PBE+U; space-group type = P4/mmm (123); calculated volume = 111.5 Å³/f.u.; energy = -4.40 eV/atom
1.0
5.247 0.000 0.000
0.000 4.051 0.000
0.000 0.000 5.247
Cr F Ir Cd
2 1 1 1
direct
0.000 0.000 0.500 Cr
0.500 0.000 0.000 Cr
0.000 0.500 0.000 F
0.500 0.500 0.500 Ir
0.000 0.000 0.000 Cd



No. 2
K2CrCdF6, optimized geometry, DFT PBE+U; space-group type = I4/mmm (139); calculated volume = 165.2 Å³/f.u.; energy = -4.74 eV/atom
1.0
6.215 0.000 0.000
0.000 6.218 0.000
0.000 0.000 8.551
K Cr Cd F
4 2 2 12
direct
0.500 0.750 0.250 K
0.000 0.250 0.750 K
0.500 0.750 0.750 K
0.000 0.250 0.250 K
0.500 0.250 0.500 Cr
0.000 0.750 0.000 Cr
0.000 0.750 0.500 Cd
0.500 0.250 0.000 Cd
0.500 0.250 0.265 F
0.500 0.250 0.735 F
0.000 0.750 0.235 F
0.000 0.750 0.765 F
0.253 0.003 0.500 F
0.747 0.003 0.500 F
0.253 0.497 0.500 F
0.747 0.497 0.500 F
0.753 0.503 0.000 F
0.247 0.503 0.000 F
0.247 0.997 0.000 F
0.753 0.997 0.000 F



No. 3
K2CrCdF, optimized geometry, DFT PBE+U; space-group type = P4/mmm (123); calculated volume = 147.1 Å³/f.u.; energy = -3.12 eV/atom
1.0
5.052 0.000 0.000
0.000 5.762 0.000
0.000 0.000 5.052
Cr K F Cd
1 2 1 1
direct
0.000 0.500 0.000 Cr
0.000 0.000 0.500 K
0.500 0.000 0.000 K
0.000 0.000 0.000 F
0.500 0.500 0.500 Cd



No. 4
KCrCd2F8, optimized geometry, DFT PBE+U; space-group type = P2/m (10); calculated volume = 186.7 Å³/f.u.; energy = -4.59 eV/atom
1.0
-2.359 -0.623 4.396
2.074 -4.682 0.535
5.643 2.889 3.440
K Cr Cd F
1 1 2 8
direct
0.000 0.000 0.500 K
0.000 0.000 0.000 Cr
0.500 0.500 0.754 Cd
0.500 0.500 0.246 Cd
0.170 0.791 0.191 F
0.704 0.742 0.000 F
0.830 0.209 0.191 F
0.830 0.209 0.809 F
0.296 0.258 0.000 F
0.170 0.791 0.809 F
0.612 0.721 0.500 F
0.388 0.279 0.500 F



No. 5
LiCrCd2F8, optimized geometry, DFT PBE+U; space-group type = P-1 (2); calculated volume = 166.1 Å³/f.u.; energy = -4.68 eV/atom
1.0
-3.107 -1.352 -3.589
3.314 -3.373 -1.368
-2.900 -4.543 4.210
Li Cr Cd F
1 1 2 8
direct
0.000 0.000 0.000 Li
0.000 0.000 0.500 Cr
0.499 0.501 0.757 Cd
0.501 0.499 0.243 Cd
0.180 0.815 0.285 F
0.714 0.717 0.000 F
0.821 0.184 0.285 F
0.820 0.185 0.715 F
0.286 0.283 0.000 F
0.179 0.816 0.715 F
0.712 0.717 0.500 F
0.288 0.283 0.500 F



No. 6
MgCrCdF6, optimized geometry, DFT PBE+U; space-group type = P-31c (163); calculated volume = 121.6 Å³/f.u.; energy = -5.03 eV/atom
1.0
5.405 0.000 0.000
-2.703 4.681 0.000
0.000 0.000 9.613
Mg Cr Cd F
2 2 2 12
direct
0.333 0.667 0.250 Mg
0.667 0.333 0.750 Mg
0.667 0.333 0.250 Cr
0.333 0.667 0.750 Cr
0.000 0.000 0.000 Cd
0.000 0.000 0.500 Cd
0.643 0.657 0.137 F
0.013 0.357 0.137 F
0.357 0.013 0.637 F
0.987 0.643 0.863 F
0.343 0.357 0.363 F
0.013 0.657 0.363 F
0.657 0.013 0.863 F
0.643 0.987 0.363 F
0.987 0.343 0.637 F
0.343 0.987 0.137 F
0.657 0.643 0.637 F
0.357 0.343 0.863 F



No. 7
MnCrCdF6, optimized geometry, DFT PBE+U; space-group type = P-31c (163); calculated volume = 128.5 Å³/f.u.; energy = -5.40 eV/atom
1.0
5.565 0.000 0.000
-2.783 4.820 0.000
0.000 0.000 9.585
Mn Cr Cd F
2 2 2 12
direct
0.333 0.667 0.250 Mn
0.667 0.333 0.750 Mn
0.667 0.333 0.250 Cr
0.333 0.667 0.750 Cr
0.000 0.000 0.000 Cd
0.000 0.000 0.500 Cd
0.658 0.651 0.135 F
0.993 0.342 0.135 F
0.342 0.993 0.635 F
0.007 0.658 0.865 F
0.349 0.342 0.365 F
0.993 0.651 0.365 F
0.651 0.993 0.865 F
0.658 0.007 0.365 F
0.007 0.349 0.635 F
0.349 0.007 0.135 F
0.651 0.658 0.635 F
0.342 0.349 0.865 F



No. 8
CrCdMoF6, optimized geometry, DFT PBE+U; space-group type = P-31c (163); calculated volume = 140.6 Å³/f.u.; energy = -5.13 eV/atom
1.0
-4.318 0.573 -3.848
0.659 -4.989 2.907
-5.762 3.293 6.957
Cr Cd Mo F
2 2 2 12
direct
0.333 0.667 0.250 Cr
0.667 0.333 0.750 Cr
0.000 0.000 0.000 Cd
0.000 0.000 0.500 Cd
0.667 0.333 0.250 Mo
0.333 0.667 0.750 Mo
0.657 0.641 0.137 F
0.984 0.343 0.137 F
0.343 0.984 0.637 F
0.016 0.657 0.863 F
0.359 0.343 0.363 F
0.984 0.641 0.363 F
0.641 0.984 0.863 F
0.657 0.016 0.363 F
0.016 0.359 0.637 F
0.359 0.016 0.137 F
0.641 0.657 0.637 F
0.343 0.359 0.863 F



No. 9
CrCdNF2, optimized geometry, DFT PBE+U; ΔE to the lowest computed polymorph = 746 meV per atom; space-group type = P4/mmm (123); calculated volume = 82.9 Å³/f.u.; energy = -4.37 eV/atom
1.0
4.364 0.000 0.000
0.000 4.364 0.000
0.000 0.000 4.354
Cr N F Cd
1 1 2 1
direct
0.500 0.500 0.500 Cr
0.000 0.000 0.500 N
0.000 0.500 0.000 F
0.500 0.000 0.000 F
0.000 0.000 0.000 Cd



No. 10
CrCdN2F, optimized geometry, DFT PBE+U; ΔE to the lowest computed polymorph = 961 meV per atom; space-group type = P4/mmm (123); calculated volume = 78.7 Å³/f.u.; energy = -4.40 eV/atom
1.0
4.247 0.000 0.000
0.000 4.247 0.000
0.000 0.000 4.362
Cr N F Cd
1 2 1 1
direct
0.500 0.500 0.500 Cr
0.000 0.500 0.000 N
0.500 0.000 0.000 N
0.000 0.000 0.500 F
0.000 0.000 0.000 Cd



No. 11
CrCdN2F, optimized geometry, DFT PBE+U; ΔE to the lowest computed polymorph = 0 meV per atom; space-group type = P4/mmm (123); calculated volume = 60.6 Å³/f.u.; energy = -5.36 eV/atom
1.0
-2.300 3.192 -0.079
-1.145 -0.915 -3.652
-2.963 -2.099 1.455
Cr N F Cd
1 2 1 1
direct
0.000 0.000 0.000 Cr
0.000 0.500 0.000 N
0.500 0.000 0.000 N
0.000 0.000 0.500 F
0.500 0.500 0.500 Cd



No. 12
CrCdNF2, optimized geometry, DFT PBE+U; ΔE to the lowest computed polymorph = 0 meV per atom; space-group type = P4/mmm (123); calculated volume = 63.4 Å³/f.u.; energy = -5.12 eV/atom
1.0
3.884 0.000 0.000
0.000 3.884 0.000
0.000 0.000 4.203
Cr N F Cd
1 1 2 1
direct
0.000 0.000 0.000 Cr
0.000 0.000 0.500 N
0.000 0.500 0.000 F
0.500 0.000 0.000 F
0.500 0.500 0.500 Cd